# 1
# PBE ZrSi2Ir, relaxed
# Crystal system ... orthorhombic
# Uncorrected energy ... -7.535 eV per atom
data_ZrSi2Ir
_chemical_formula_sum 'Zr2 Si4 Ir2'
_space_group_name_H-M_alt 'P 1'
_space_group_IT_number 1
_space_group_name_Hall 'P 1'
_cell_length_a 4.258
_cell_length_b 4.294
_cell_length_c 6.779
_cell_angle_alpha 90.00
_cell_angle_beta 90.00
_cell_angle_gamma 90.00
loop_
_atom_site_label
_atom_site_fract_x
_atom_site_fract_y
_atom_site_fract_z
Zr1 0.000 0.000 0.000
Zr2 0.500 0.500 0.000
Si1 0.000 0.500 0.283
Si2 0.000 0.500 0.717
Si3 0.500 0.000 0.283
Si4 0.500 0.000 0.717
Ir1 0.000 0.000 0.500
Ir2 0.500 0.500 0.500


# 2
# PBE ZrSi2Ir, relaxed
# Crystal system ... cubic
# Uncorrected energy ... -7.372 eV per atom
data_ZrSi2Ir
_chemical_formula_sum 'Zr4 Si8 Ir4'
_space_group_name_H-M_alt 'P 1'
_space_group_IT_number 1
_space_group_name_Hall 'P 1'
_cell_length_a 6.290
_cell_length_b 6.290
_cell_length_c 6.290
_cell_angle_alpha 90.00
_cell_angle_beta 90.00
_cell_angle_gamma 90.00
loop_
_atom_site_label
_atom_site_fract_x
_atom_site_fract_y
_atom_site_fract_z
Zr1 0.000 0.000 0.000
Zr2 0.000 0.500 0.500
Zr3 0.500 0.000 0.500
Zr4 0.500 0.500 0.000
Si1 0.250 0.250 0.250
Si2 0.250 0.250 0.750
Si3 0.250 0.750 0.250
Si4 0.250 0.750 0.750
Si5 0.750 0.250 0.250
Si6 0.750 0.250 0.750
Si7 0.750 0.750 0.250
Si8 0.750 0.750 0.750
Ir1 0.000 0.000 0.500
Ir2 0.000 0.500 0.000
Ir3 0.500 0.000 0.000
Ir4 0.500 0.500 0.500


Computed values of magnetization (unit: μB/atom) for the preceding records, in sequence: 0.0000; 0.2099.
Computed values of D(E_F) (unit: states/eV/f.u.) for the preceding records, in sequence: 2.780; 4.765.
Computed values of formation energy from raw total energies (unit: kcal/mol of atoms) for the preceding records, in sequence: -10.9; -7.1.